VASP calculation (GGA-PBE) on an optimized crystal structure of WSeBr3.

Unit cell a=5.3565 b=5.3565 c=5.3565 alpha=90.00 beta=90.00 gamma=90.00
Fractional positions:
Se1 0.0000 0.0000 0.0000
Br1 0.0000 0.0000 0.5000
Br2 0.5000 0.0000 0.0000
Br3 0.0000 0.5000 0.0000
W1 0.5000 0.5000 0.5000

## Properties
The value obtained for the total magnetic moment is 5.0 μB per cell. The electronic total energy is -2.9749 eV per atom. For the energy relative to the elements, uncorrected, the calculation gives 635 kJ/mol of formula units.